The following is a DFT calculation (PBE) of a geometry-optimized Cs2MnSnI6 structure.

symmetry: Fm-3m
final energy: -0.24360 Ry per atom
offset from the most stable computed form: 3 meV per atom
spin magnetization: 5.00 μB per formula unit
uncorrected formation energy: -8.964 eV/f.u.

Unit cell a=8.569 b=8.569 c=8.570 alpha=60.00 beta=60.00 gamma=90.00
Each line ends with the local moment (μB).
Positions (direct):
I (0.261, 0.261, 0.479)  0.03
I (0.261, 0.261, 0.000)  0.03
Mn (0.500, 0.500, 0.000)  4.30
I (0.261, 0.739, 0.000)  0.03
I (0.739, 0.739, 0.000)  0.03
Sn (0.000, 0.000, 0.000)  0.07
Cs (0.250, 0.750, 0.500)  0.00
I (0.739, 0.739, 0.521)  0.03
I (0.739, 0.261, 0.000)  0.03
Cs (0.750, 0.250, 0.500)  0.00

The following is a DFT calculation (PBE) of a geometry-optimized Co5Sn2As2 structure.

symmetry: P-6m2
final energy: -0.42901 Ry per atom
spin magnetization: 4.95 μB per formula unit
ΔH_f (0 K): 34 meV/atom

Unit cell a=4.090 b=4.090 c=9.588 alpha=90.00 beta=90.00 gamma=120.00
Each line ends with the local moment (μB).
Positions (direct):
As (0.000, 0.000, 0.745)  0.01
Co (0.333, 0.667, 0.370)  1.11
Co (0.333, 0.667, 0.867)  1.17
As (0.000, 0.000, 0.255)  0.01
Co (0.000, 0.000, 0.000)  0.56
Sn (0.667, 0.333, 0.000)  -0.06
Sn (0.667, 0.333, 0.500)  -0.07
Co (0.333, 0.667, 0.133)  1.17
Co (0.333, 0.667, 0.630)  1.11

The following is a DFT calculation (PBE) of a geometry-optimized Zn2Ag2Bi structure.

symmetry: I4/mmm
final energy: -0.17021 Ry per atom
offset from the most stable computed form: 30 meV per atom
spin magnetization: 0.00 μB per formula unit
ΔH_f (0 K): 110 meV/atom

Unit cell a=4.084 b=4.084 c=6.748 alpha=72.38 beta=72.38 gamma=90.00
Positions (direct):
Bi (0.000, 0.000, 0.000)
Zn (0.602, 0.602, 0.796)
Zn (0.398, 0.398, 0.204)
Ag (0.250, 0.750, 0.500)
Ag (0.750, 0.250, 0.500)

The following is a DFT calculation (PBE) of a geometry-optimized InPd4Au3 structure.

symmetry: Imm2
final energy: -0.30194 Ry per atom
offset from the most stable computed form: 334 meV per atom
spin magnetization: 0.00 μB per formula unit
ΔH_f (0 K): 60 meV/atom

Unit cell a=6.041 b=6.041 c=6.041 alpha=104.77 beta=95.58 gamma=130.38
Positions (direct):
Pd (0.076, 0.248, 0.827)
Pd (0.579, 0.752, 0.827)
In (0.034, 0.500, 0.534)
Au (0.129, 0.000, 0.129)
Au (0.427, 0.188, 0.615)
Au (0.427, 0.812, 0.239)
Pd (0.740, 0.317, 0.056)
Pd (0.740, 0.683, 0.423)

The following is a DFT calculation (PBE) of a geometry-optimized Ni2AsPt structure.

symmetry: F-43m
final energy: -0.41107 Ry per atom
spin magnetization: 0.00 μB per formula unit
ΔH_f (0 K): -30 meV/atom

Unit cell a=4.234 b=4.234 c=4.234 alpha=60.00 beta=60.00 gamma=60.00
Positions (direct):
As (0.500, 0.500, 0.500)
Ni (0.000, 0.000, 0.000)
Pt (0.750, 0.750, 0.750)
Ni (0.250, 0.250, 0.250)

The following is a DFT calculation (PBE) of a geometry-optimized PmNd4Y4 structure.

symmetry: I4/mmm
final energy: -0.40460 Ry per atom
spin magnetization: 0.00 μB per formula unit
ΔH_f (0 K): 15 meV/atom

Unit cell a=5.122 b=8.118 c=8.118 alpha=84.29 beta=71.61 gamma=71.61
Positions (direct):
Nd (0.000, 0.332, 0.668)
Nd (0.668, 0.332, 0.332)
Y (0.666, 0.667, 0.000)
Y (0.334, 0.333, 0.000)
Pm (0.000, 0.000, 0.000)
Y (0.666, 0.000, 0.667)
Nd (0.000, 0.668, 0.332)
Nd (0.332, 0.668, 0.668)
Y (0.334, 0.000, 0.333)

The following is a DFT calculation (PBE) of a geometry-optimized AlSn2Hg2 structure.

symmetry: P4/mbm
final energy: -0.16740 Ry per atom
offset from the most stable computed form: 9 meV per atom
spin magnetization: 0.00 μB per formula unit
ΔH_f (0 K): 193 meV/atom

Unit cell a=7.312 b=7.312 c=4.783 alpha=90.00 beta=90.00 gamma=90.00
Positions (direct):
Al (0.500, 0.500, 0.000)
Hg (0.645, 0.145, 0.000)
Hg (0.855, 0.645, 0.000)
Sn (0.166, 0.666, 0.500)
Sn (0.334, 0.166, 0.500)
Hg (0.145, 0.355, 0.000)
Al (0.000, 0.000, 0.000)
Sn (0.834, 0.334, 0.500)
Sn (0.666, 0.834, 0.500)
Hg (0.355, 0.855, 0.000)

The following is a DFT calculation (PBE) of a geometry-optimized HgAs2PtSe structure.

symmetry: P4/mmm
final energy: -0.24504 Ry per atom
offset from the most stable computed form: 0 meV per atom
spin magnetization: 0.54 μB per formula unit
uncorrected formation energy: 2.456 eV/f.u.

Unit cell a=4.855 b=4.855 c=5.351 alpha=90.00 beta=90.00 gamma=90.00
Each line ends with the local moment (μB).
Positions (direct):
As (0.000, 0.500, 0.000)  0.11
Hg (0.500, 0.500, 0.500)  0.01
Se (0.000, 0.000, 0.500)  0.04
Pt (0.000, 0.000, 0.000)  0.03
As (0.500, 0.000, 0.000)  0.11